[1]
The following is a GGA-PBE calculation of a geometry-optimized Dy3CdCo structure, from the Alexandria database.

a = 9.652 Å, b = 6.405 Å, c = 9.312 Å
α = 90.00°, β = 121.14°, γ = 90.00°
Space group C2/m (No. 12)
Unique sites:
Dy: 0.076 0.000 0.271 (multiplicity 4)
Dy: 0.195 0.500 0.272 (multiplicity 4)
Dy: 0.201 0.500 0.903 (multiplicity 4)
Cd: 0.000 0.288 0.500 (multiplicity 4)
Co: 0.000 0.250 0.000 (multiplicity 4)

* VASP energy: -4.57 eV/atom
* energy above the most stable polymorph in this dataset: 0 meV/atom



[2]
The following is a GGA-PBE calculation of a geometry-optimized PmSm5Y3 structure, from the Alexandria database.

a = 18.631 Å, b = 6.414 Å, c = 11.444 Å
α = 90.00°, β = 113.00°, γ = 90.00°
Space group C2/c (No. 15)
Unique sites:
Pm: 0.000 0.130 0.250 (multiplicity 4)
Sm: 0.000 0.400 0.750 (multiplicity 4)
Sm: 0.169 0.290 0.209 (multiplicity 8)
Sm: 0.170 0.182 0.867 (multiplicity 8)
Y: 0.000 0.000 0.000 (multiplicity 4)
Y: 0.161 0.302 0.515 (multiplicity 8)

* VASP energy: -5.03 eV/atom
* energy above the most stable polymorph in this dataset: 0 meV/atom



[3]
The following is a GGA-PBE calculation of a geometry-optimized Tb8Tm2Cd structure, from the Alexandria database.

a = 19.163 Å, b = 5.554 Å, c = 6.399 Å
α = 90.00°, β = 94.24°, γ = 90.00°
Space group C2/m (No. 12)
Unique sites:
Tb: 0.044 0.000 0.262 (multiplicity 4)
Tb: 0.080 0.500 0.596 (multiplicity 4)
Tb: 0.155 0.000 0.803 (multiplicity 4)
Tb: 0.161 0.500 0.119 (multiplicity 4)
Tm: 0.241 0.000 0.335 (multiplicity 4)
Cd: 0.000 0.500 0.000 (multiplicity 2)

* VASP energy: -4.28 eV/atom
* energy above the most stable polymorph in this dataset: 0 meV/atom



[4]
The following is a GGA-PBE calculation of a geometry-optimized K3AcPm2O6 structure, from the Alexandria database.

a = 16.574 Å, b = 3.688 Å, c = 7.633 Å
α = 90.00°, β = 105.82°, γ = 90.00°
Space group C2/m (No. 12)
Unique sites:
K: 0.000 0.000 0.000 (multiplicity 2)
K: 0.170 0.500 0.332 (multiplicity 4)
Ac: 0.000 0.000 0.500 (multiplicity 2)
Pm: 0.169 0.500 0.840 (multiplicity 4)
O: 0.017 0.500 0.731 (multiplicity 4)
O: 0.158 0.000 0.627 (multiplicity 4)
O: 0.181 0.000 0.051 (multiplicity 4)

* E_form (uncorrected): -2609 meV/atom
* VASP energy: -6.50 eV/atom



[5]
The following is a GGA-PBE calculation of a geometry-optimized Ca2ScUSb4 structure, from the Alexandria database.

a = 7.520 Å, b = 4.407 Å, c = 7.699 Å
α = 90.00°, β = 109.12°, γ = 90.00°
Space group P2/m (No. 10)
Unique sites:
Ca: 0.000 0.000 0.000 (multiplicity 1)
Ca: 0.500 0.500 0.000 (multiplicity 1)
Sc: 0.000 0.500 0.500 (multiplicity 1)
U: 0.500 0.000 0.500 (multiplicity 1)
Sb: 0.240 0.000 0.726 (multiplicity 2)
Sb: 0.252 0.500 0.270 (multiplicity 2)

* E_form (uncorrected): -728 meV/atom
* VASP energy: -5.49 eV/atom



[6]
The following is a GGA-PBE calculation of a geometry-optimized Pm12DyTh7 structure, from the Alexandria database.

a = 11.587 Å, b = 11.587 Å, c = 11.587 Å
α = 90.00°, β = 90.00°, γ = 90.00°
Space group Im-3 (No. 204)
Unique sites:
Pm: 0.000 0.227 0.302 (multiplicity 24)
Dy: 0.000 0.000 0.000 (multiplicity 2)
Th: 0.000 0.000 0.500 (multiplicity 6)
Th: 0.250 0.250 0.250 (multiplicity 8)

* VASP energy: -4.80 eV/atom